## Li2Tl2SnF6 (GGA-PBE)

Data for a geometry-optimized Li2Tl2SnF6 structure.

Properties
As for the uncorrected formation energy: -2256.8 meV/atom.

abc: 6.2260 6.2260 18.2976
angles: 90.00 90.00 120.00
Space group R-3m (No. 166, hexagonal axes)
Unique sites:
Li (0.0000, 0.0000, 0.0812) x6
Tl (0.0000, 0.0000, 0.2955) x6
Sn (0.0000, 0.0000, 0.5000) x3
F (0.0033, 0.5017, 0.2552) x18